# Zn2CrAg

A relaxed structure of Zn2CrAg (GGA-PBE, Alexandria).

The value obtained for the energy is -3.615 eV/atom. As for the formation energy: 0.6 eV/f.u.

a = 4.6169 Å, b = 4.6169 Å, c = 4.6169 Å
α = 126.44°, β = 126.44°, γ = 79.17°
Last column: nearest neighbours and their distance in Å.
Positions (direct):
Zn  0.5000  0.5000  0.0000  4 Cr 2.74, 4 Ag 2.74, 4 Zn 2.94
Ag  0.2500  0.7500  0.5000  8 Zn 2.74, 4 Cr 2.94
Cr  0.7500  0.2500  0.5000  8 Zn 2.74, 4 Ag 2.94
Zn  0.0000  0.0000  0.0000  4 Ag 2.74, 4 Cr 2.74, 4 Zn 2.94


# Na2Rh2WS6

A relaxed structure of Na2Rh2WS6 (GGA-PBE, Alexandria).

The value obtained for the energy is -5.605 eV/atom. Its raw formation energy is -0.5993 eV/atom.

a = 6.2087 Å, b = 6.2087 Å, c = 6.9202 Å
α = 98.65°, β = 98.65°, γ = 120.50°
Last column: nearest neighbours and their distance in Å.
Positions (direct):
S  0.5968  0.9376  0.3073  2 Rh 2.40-2.41, 1 W 2.46
Rh  0.6667  0.3333  0.5000  6 S 2.40-2.43
S  0.4032  0.0624  0.6927  2 Rh 2.40-2.41, 1 W 2.46
Na  0.8336  0.1664  0.0000  6 S 2.86-2.90
S  0.9376  0.5968  0.3073  2 Rh 2.40-2.41, 1 W 2.46
Rh  0.3333  0.6667  0.5000  6 S 2.40-2.43
S  0.7288  0.7288  0.6969  2 Rh 2.43, 1 W 2.46
W  0.0000  0.0000  0.5000  6 S 2.46
Na  0.1664  0.8336  0.0000  6 S 2.86-2.90
S  0.0624  0.4032  0.6927  2 Rh 2.40-2.41, 1 W 2.46
S  0.2712  0.2712  0.3031  2 Rh 2.43, 1 W 2.46


Number 1: total moment 3.49 μB per formula unit. Number 2: total moment 2.00 μB per formula unit.